Entry from the Alexandria database: an optimized crystal structure of RbCuPtI6 (PBE).

The structure in POSCAR format:
```
RbCuPtI6
1.0
7.2681 0.0124 0.0079
3.6449 6.2859 -0.0061
0.0092 -0.0137 8.3622
Cu I Rb Pt
1 6 1 1
Direct
0.3343 0.3346 0.5001
0.6347 0.9882 0.3144
0.9882 0.3759 0.3124
0.3759 0.9883 0.6874
0.9881 0.6348 0.6855
0.6357 0.3769 0.6866
0.3770 0.6356 0.3135
0.9994 0.9993 0.0000
0.6665 0.6664 0.5000
```

Values from the calculation:
SG: C2 (5)
density of states at the Fermi level: 5.8 states/eV/f.u.
E_form (uncorrected): -0.374 eV/atom